12
Lattice="3.801 -6.591 0.000 3.801 6.591 0.000 -2.541 0.000 7.270" Properties=species:S:1:pos:R:3 comment="TbAg2Sn3Te6, relaxed, DFT GGA-PBE" dos_at_fermi_per_ev_fu=4.0 e_form_raw_ev_per_atom=-0.41 crystal_system=monoclinic total_energy_ev_per_atom=-3.846 pbc="T T T"
Tb 0.000 0.000 0.000
Ag 3.801 2.265 0.000
Ag 3.801 -2.265 0.000
Sn 2.531 4.495 3.635
Sn 2.531 0.000 3.635
Sn 2.531 -4.495 3.635
Te 1.277 2.209 1.739
Te 0.025 0.000 5.532
Te 1.277 -2.209 1.739
Te 3.784 2.209 5.531
Te 5.036 0.000 1.738
Te 3.784 -2.209 5.531